Density functional theory data (GGA-PBE) for a relaxed structure of RbNiCl.

As for the density of states at the Fermi level: 0.42 states/eV/f.u. For the total magnetic moment, the calculation gives 0.00 μB per formula unit. Its volume is 141.9 Å³ per cell. Its space-group type is P6_3/mmc (194). Its uncorrected formation energy is -0.276 eV per atom.

Cell: 4.0011 4.0011 10.2373 Å, 90.00 90.00 120.00°
With the nearest neighbours (Å) after each atom.
Fractional coordinates of all 6 atoms:
Rb 0.0000 0.0000 0.0000  6 Cl 3.45, 6 Ni 3.45
Rb 0.0000 0.0000 0.5000  6 Cl 3.45, 6 Ni 3.45
Ni 0.3333 0.6667 0.2500  3 Cl 2.31
Ni 0.6667 0.3333 0.7500  3 Cl 2.31
Cl 0.3333 0.6667 0.7500  3 Ni 2.31
Cl 0.6667 0.3333 0.2500  3 Ni 2.31



Density functional theory data (GGA-PBE) for a relaxed structure of RbNiCl.

As for the density of states at the Fermi level: 0.00 states/eV/f.u. For the total magnetic moment, the calculation gives 0.00 μB per formula unit. Its volume is 225.2 Å³ per cell. Its space-group type is Cmcm (63). Its uncorrected formation energy is -0.355 eV per atom.

Cell: 5.5808 5.5808 8.3237 Å, 90.00 90.00 119.70°
With the nearest neighbours (Å) after each atom.
Fractional coordinates of all 6 atoms:
Rb 0.1656 0.8344 0.7500  3 Ni 3.23
Rb 0.8344 0.1656 0.2500  3 Ni 3.23
Ni 0.4999 0.5001 0.2500  2 Cl 2.08
Ni 0.5001 0.4999 0.7500  2 Cl 2.08
Cl 0.5000 0.5000 0.0000  2 Ni 2.08
Cl 0.5000 0.5000 0.5000  2 Ni 2.08



Density functional theory data (GGA-PBE) for a relaxed structure of RbNiCl.

As for the density of states at the Fermi level: 0.00 states/eV/f.u. For the total magnetic moment, the calculation gives 0.00 μB per formula unit. Its volume is 175.1 Å³ per cell. Its space-group type is Amm2 (38). Its uncorrected formation energy is -0.528 eV per atom.

Cell: 4.2425 8.4097 8.4097 Å, 35.71 90.00 90.00°
With the nearest neighbours (Å) after each atom.
Fractional coordinates of all 6 atoms:
Rb 0.0000 0.0000 0.0000  2 Ni 3.22, 6 Cl 3.33-3.54
Rb 0.0000 0.2671 0.2671  6 Ni 3.49, 4 Cl 3.53
Ni 0.0000 0.6204 0.6204  2 Cl 2.25, 2 Ni 2.51
Ni 0.5000 0.7044 0.7044  2 Cl 2.10-2.16
Cl 0.5000 0.5732 0.5732  3 Ni 2.10-2.25
Cl 0.5000 0.8396 0.8396  1 Ni 2.16



Density functional theory data (GGA-PBE) for a relaxed structure of RbNiCl.

As for the density of states at the Fermi level: 2.02 states/eV/f.u. For the total magnetic moment, the calculation gives 0.99 μB per formula unit. Its volume is 172.3 Å³ per cell. Its space-group type is Imma (74). Its uncorrected formation energy is -0.570 eV per atom.

Cell: 8.9672 8.9672 8.9672 Å, 154.71 145.89 42.94°
With the nearest neighbours (Å) after each atom.
Fractional coordinates of all 6 atoms:
Rb 0.3585 0.1085 0.2500  6 Cl 3.32-3.67
Rb 0.6415 0.8915 0.7500  6 Cl 3.32-3.67
Ni 0.0353 0.2853 0.7500  2 Ni 2.29, 1 Cl 2.30
Ni 0.9647 0.7147 0.2500  2 Ni 2.29, 1 Cl 2.30
Cl 0.1730 0.4230 0.7500  1 Ni 2.30
Cl 0.8270 0.5770 0.2500  1 Ni 2.30